Record 1
This record from Alexandria via LeMat-Bulk describes a crystal of Cs2TiP2O8 relaxed with PBEsol. The functional is SCAN.

Cell lengths 13.3420, 7.2762, 9.6260 Å; angles 90.00, 90.00, 90.00 degrees
Closest atoms and distances in Å follow each position.
Positions (direct):
Cs1 0.0895 0.2500 0.1271  3 O 2.94-3.03
Cs2 0.1043 0.7500 0.4085  6 O 3.01-3.33
Cs3 0.3957 0.2500 0.9085  6 O 3.01-3.33
Cs4 0.4105 0.7500 0.6271  3 O 2.94-3.03
Cs5 0.5895 0.2500 0.3729  3 O 2.94-3.03
Cs6 0.6043 0.7500 0.0915  6 O 3.01-3.33
Cs7 0.8957 0.2500 0.5915  6 O 3.01-3.33
Cs8 0.9105 0.7500 0.8729  3 O 2.94-3.03
Ti1 0.2097 0.7500 0.9781  1 O 1.66
Ti2 0.2903 0.2500 0.4781  1 O 1.66
Ti3 0.7097 0.7500 0.5219  1 O 1.66
Ti4 0.7903 0.2500 0.0219  1 O 1.66
P1 0.1541 0.0466 0.7236  4 O 1.49-1.63
P2 0.1541 0.4534 0.7236  4 O 1.49-1.63
P3 0.3459 0.5466 0.2236  4 O 1.49-1.63
P4 0.3459 0.9534 0.2236  4 O 1.49-1.63
P5 0.6541 0.0466 0.7764  4 O 1.49-1.63
P6 0.6541 0.4534 0.7764  4 O 1.49-1.63
P7 0.8459 0.5466 0.2764  4 O 1.49-1.63
P8 0.8459 0.9534 0.2764  4 O 1.49-1.63
O1 0.0496 0.5184 0.6970  1 P 1.49
O2 0.0496 0.9816 0.6970  1 P 1.49
O3 0.0938 0.7500 0.0417  1 Ti 1.66
O4 0.1528 0.2500 0.7946  2 P 1.63
O5 0.2156 0.5630 0.8306  1 P 1.54
O6 0.2156 0.9370 0.8306  1 P 1.54
O7 0.2177 0.0650 0.5904  1 P 1.54
O8 0.2177 0.4350 0.5904  1 P 1.54
O9 0.2823 0.5650 0.0904  1 P 1.54
O10 0.2823 0.9350 0.0904  1 P 1.54
O11 0.2844 0.0630 0.3306  1 P 1.54
O12 0.2844 0.4370 0.3306  1 P 1.54
O13 0.3472 0.7500 0.2946  2 P 1.63
O14 0.4062 0.2500 0.5417  1 Ti 1.66
O15 0.4504 0.0184 0.1970  1 P 1.49
O16 0.4504 0.4816 0.1970  1 P 1.49
O17 0.5496 0.5184 0.8030  1 P 1.49
O18 0.5496 0.9816 0.8030  1 P 1.49
O19 0.5938 0.7500 0.4583  1 Ti 1.66
O20 0.6528 0.2500 0.7054  2 P 1.63
O21 0.7156 0.5630 0.6694  1 P 1.54
O22 0.7156 0.9370 0.6694  1 P 1.54
O23 0.7177 0.0650 0.9096  1 P 1.54
O24 0.7177 0.4350 0.9096  1 P 1.54
O25 0.7823 0.5650 0.4096  1 P 1.54
O26 0.7823 0.9350 0.4096  1 P 1.54
O27 0.7844 0.0630 0.1694  1 P 1.54
O28 0.7844 0.4370 0.1694  1 P 1.54
O29 0.8472 0.7500 0.2054  2 P 1.63
O30 0.9062 0.2500 0.9583  1 Ti 1.66
O31 0.9504 0.0184 0.3030  1 P 1.49
O32 0.9504 0.4816 0.3030  1 P 1.49

Values from the calculation:
E_tot ... -15.20 eV per atom
Calculated volume ... 17.97 Å³/atom
Formation energy without anion corrections ... -2.72 eV/atom
N(E_F) ... 0.0000 states/eV per atom

Record 2
This record from Alexandria via LeMat-Bulk describes a crystal of Cs2TiP4O13 relaxed with PBEsol. The functional is SCAN.

Cell lengths 5.1714, 8.0453, 15.6797 Å; angles 84.54, 83.74, 80.36 degrees
Closest atoms and distances in Å follow each position.
Positions (direct):
Cs1 0.1838 0.2439 0.4894  6 O 3.03-3.31
Cs2 0.2305 0.1935 0.9717  6 O 2.94-3.17
Cs3 0.7695 0.8065 0.0283  6 O 2.94-3.17
Cs4 0.8162 0.7561 0.5106  6 O 3.03-3.31
Ti1 0.0495 0.4384 0.2393  6 O 1.92-1.97
Ti2 0.9505 0.5616 0.7607  6 O 1.92-1.97
P1 0.1692 0.9094 0.6940  4 O 1.48-1.61
P2 0.1816 0.8218 0.2118  4 O 1.47-1.61
P3 0.3786 0.7266 0.8521  4 O 1.49-1.63
P4 0.4724 0.5962 0.3374  4 O 1.49-1.64
P5 0.5276 0.4038 0.6626  4 O 1.49-1.64
P6 0.6214 0.2734 0.1479  4 O 1.49-1.63
P7 0.8184 0.1782 0.7882  4 O 1.47-1.61
P8 0.8308 0.0906 0.3060  4 O 1.48-1.61
O1 0.0163 0.0956 0.7115  2 P 1.61
O2 0.0348 0.2109 0.2921  1 P 1.53
O3 0.0599 0.6702 0.1915  1 P 1.54
O4 0.2104 0.5927 0.8346  1 P 1.55
O5 0.2315 0.4728 0.6734  1 P 1.54
O6 0.2387 0.9427 0.1382  1 P 1.47
O7 0.2908 0.8109 0.9330  1 P 1.49
O8 0.3125 0.4633 0.3128  1 P 1.56
O9 0.3144 0.9215 0.6076  1 P 1.48
O10 0.3284 0.3533 0.1535  1 P 1.54
O11 0.3569 0.8661 0.7696  2 P 1.59-1.63
O12 0.3745 0.6633 0.4220  1 P 1.49
O13 0.4384 0.7475 0.2593  2 P 1.59-1.64
O14 0.5616 0.2525 0.7407  2 P 1.59-1.64
O15 0.6255 0.3367 0.5780  1 P 1.49
O16 0.6431 0.1339 0.2304  2 P 1.59-1.63
O17 0.6716 0.6467 0.8465  1 P 1.54
O18 0.6856 0.0785 0.3924  1 P 1.48
O19 0.6875 0.5367 0.6872  1 P 1.56
O20 0.7092 0.1891 0.0670  1 P 1.49
O21 0.7613 0.0573 0.8618  1 P 1.47
O22 0.7685 0.5272 0.3266  1 P 1.54
O23 0.7896 0.4073 0.1654  1 P 1.55
O24 0.9401 0.3298 0.8085  1 P 1.54
O25 0.9652 0.7891 0.7079  1 P 1.53
O26 0.9837 0.9044 0.2885  2 P 1.61

Values from the calculation:
E_tot ... -13.35 eV per atom
Calculated volume ... 15.93 Å³/atom
Formation energy without anion corrections ... -2.63 eV/atom
N(E_F) ... 0.0000 states/eV per atom

Record 3
This record from Alexandria via LeMat-Bulk describes a crystal of Cs2UP2O9 relaxed with PBEsol. The functional is SCAN.

Cell lengths 12.6270, 12.7881, 6.1607 Å; angles 90.00, 90.00, 90.00 degrees
Closest atoms and distances in Å follow each position.
Positions (direct):
Cs1 0.0714 0.2500 0.0090  5 O 3.01-3.34
Cs2 0.2500 0.5727 0.9847  10 O 3.05-3.39
Cs3 0.2500 0.9273 0.9847  10 O 3.05-3.39
Cs4 0.4286 0.2500 0.0090  5 O 3.01-3.34
Cs5 0.5714 0.7500 0.9910  5 O 3.01-3.34
Cs6 0.7500 0.0727 0.0153  10 O 3.05-3.39
Cs7 0.7500 0.4273 0.0153  10 O 3.05-3.39
Cs8 0.9286 0.7500 0.9910  5 O 3.01-3.34
U1 0.0000 0.0000 0.5000  2 O 1.81
U2 0.0000 0.5000 0.5000  2 O 1.81
U3 0.5000 0.0000 0.5000  2 O 1.81
U4 0.5000 0.5000 0.5000  2 O 1.81
P1 0.1308 0.7500 0.4854  4 O 1.49-1.63
P2 0.2500 0.1325 0.4914  4 O 1.49-1.63
P3 0.2500 0.3675 0.4914  4 O 1.49-1.63
P4 0.3692 0.7500 0.4854  4 O 1.49-1.63
P5 0.6308 0.2500 0.5146  4 O 1.49-1.63
P6 0.7500 0.6325 0.5086  4 O 1.49-1.63
P7 0.7500 0.8675 0.5086  4 O 1.49-1.63
P8 0.8692 0.2500 0.5146  4 O 1.49-1.63
O1 0.0475 0.5124 0.2233  1 U 1.81
O2 0.0475 0.9876 0.2233  1 U 1.81
O3 0.0796 0.6528 0.5933  1 P 1.55
O4 0.0796 0.8472 0.5933  1 P 1.55
O5 0.1328 0.7500 0.2433  1 P 1.49
O6 0.1507 0.0838 0.5998  1 P 1.55
O7 0.1507 0.4162 0.5998  1 P 1.55
O8 0.2500 0.1338 0.2492  1 P 1.49
O9 0.2500 0.2500 0.5924  2 P 1.63
O10 0.2500 0.3662 0.2492  1 P 1.49
O11 0.2500 0.7500 0.5874  2 P 1.63
O12 0.3493 0.0838 0.5998  1 P 1.55
O13 0.3493 0.4162 0.5998  1 P 1.55
O14 0.3672 0.7500 0.2433  1 P 1.49
O15 0.4204 0.6528 0.5933  1 P 1.55
O16 0.4204 0.8472 0.5933  1 P 1.55
O17 0.4525 0.5124 0.2233  1 U 1.81
O18 0.4525 0.9876 0.2233  1 U 1.81
O19 0.5475 0.0124 0.7767  1 U 1.81
O20 0.5475 0.4876 0.7767  1 U 1.81
O21 0.5796 0.1528 0.4067  1 P 1.55
O22 0.5796 0.3472 0.4067  1 P 1.55
O23 0.6328 0.2500 0.7567  1 P 1.49
O24 0.6507 0.5838 0.4002  1 P 1.55
O25 0.6507 0.9162 0.4002  1 P 1.55
O26 0.7500 0.2500 0.4126  2 P 1.63
O27 0.7500 0.6338 0.7508  1 P 1.49
O28 0.7500 0.7500 0.4076  2 P 1.63
O29 0.7500 0.8662 0.7508  1 P 1.49
O30 0.8493 0.5838 0.4002  1 P 1.55
O31 0.8493 0.9162 0.4002  1 P 1.55
O32 0.8672 0.2500 0.7567  1 P 1.49
O33 0.9204 0.1528 0.4067  1 P 1.55
O34 0.9204 0.3472 0.4067  1 P 1.55
O35 0.9525 0.0124 0.7767  1 U 1.81
O36 0.9525 0.4876 0.7767  1 U 1.81

Values from the calculation:
E_tot ... -21.08 eV per atom
Calculated volume ... 17.76 Å³/atom
Formation energy without anion corrections ... -2.79 eV/atom
N(E_F) ... 0.0000 states/eV per atom

Record 4
This record from Alexandria via LeMat-Bulk describes a crystal of CsV2P5O16 relaxed with PBEsol. The functional is SCAN.

Cell lengths 7.5508, 9.4230, 10.2926 Å; angles 90.00, 111.93, 90.00 degrees
Closest atoms and distances in Å follow each position.
Positions (direct):
Cs1 0.0000 0.1978 0.0000  7 O 3.13-3.36
Cs2 0.0000 0.8022 0.5000  7 O 3.13-3.36
V1 0.0686 0.3693 0.6036  6 O 1.94-2.05
V2 0.0686 0.6307 0.1036  6 O 1.94-2.05
V3 0.6165 0.1425 0.2045  6 O 1.92-2.05
V4 0.6165 0.8575 0.7045  6 O 1.92-2.05
P1 0.3816 0.1402 0.6114  4 O 1.50-1.62
P2 0.3816 0.8598 0.1114  4 O 1.50-1.62
P3 0.4240 0.2940 0.8677  4 O 1.48-1.61
P4 0.4240 0.7060 0.3677  4 O 1.48-1.61
P5 0.4783 0.4586 0.2316  4 O 1.50-1.62
P6 0.4783 0.5414 0.7316  4 O 1.50-1.62
P7 0.7161 0.1267 0.5393  4 O 1.51-1.64
P8 0.7161 0.8733 0.0393  4 O 1.51-1.64
P9 0.8698 0.4179 0.2663  4 O 1.51-1.64
P10 0.8698 0.5821 0.7663  4 O 1.51-1.64
O1 0.1855 0.2027 0.5451  1 P 1.50
O2 0.1855 0.7973 0.0451  1 P 1.50
O3 0.2089 0.2969 0.8041  1 P 1.51
O4 0.2089 0.7031 0.3041  1 P 1.51
O5 0.3060 0.4805 0.6175  1 P 1.50
O6 0.3060 0.5195 0.1175  1 P 1.50
O7 0.3835 0.0186 0.1341  1 P 1.51
O8 0.3835 0.9814 0.6341  1 P 1.51
O9 0.4788 0.3029 0.2628  1 P 1.50
O10 0.4788 0.6971 0.7628  1 P 1.50
O11 0.5013 0.2137 0.7610  2 P 1.61-1.62
O12 0.5013 0.7863 0.2610  2 P 1.61-1.62
O13 0.5030 0.1836 0.5221  2 P 1.58-1.64
O14 0.5030 0.8164 0.0221  2 P 1.58-1.64
O15 0.5102 0.4512 0.8730  2 P 1.61-1.62
O16 0.5102 0.5488 0.3730  2 P 1.61-1.62
O17 0.5170 0.2301 0.0088  1 P 1.48
O18 0.5170 0.7699 0.5088  1 P 1.48
O19 0.6625 0.4973 0.1983  2 P 1.59-1.64
O20 0.6625 0.5027 0.6983  2 P 1.59-1.64
O21 0.6963 0.0709 0.3948  1 P 1.53
O22 0.6963 0.9291 0.8948  1 P 1.53
O23 0.7626 0.0079 0.6473  1 P 1.52
O24 0.7626 0.9921 0.1473  1 P 1.52
O25 0.8392 0.2584 0.2438  1 P 1.53
O26 0.8392 0.7416 0.7438  1 P 1.53
O27 0.8468 0.2534 0.5890  1 P 1.51
O28 0.8468 0.7466 0.0890  1 P 1.51
O29 0.9485 0.4594 0.4197  1 P 1.52
O30 0.9485 0.5406 0.9197  1 P 1.52
O31 0.9826 0.4703 0.1819  1 P 1.51
O32 0.9826 0.5297 0.6819  1 P 1.51

Values from the calculation:
E_tot ... -11.90 eV per atom
Calculated volume ... 14.15 Å³/atom
Formation energy without anion corrections ... -2.54 eV/atom

Look up the formation energy without anion corrections of the second one. -2.63 eV/atom

calculated volume of number 4 (CsV2P5O16)? 14.15 Å³/atom

What did the third record say?
This record from Alexandria via LeMat-Bulk describes a crystal of Cs2UP2O9 relaxed with PBEsol. The functional is SCAN.

Cell lengths 12.6270, 12.7881, 6.1607 Å; angles 90.00, 90.00, 90.00 degrees
Closest atoms and distances in Å follow each position.
Positions (direct):
Cs1 0.0714 0.2500 0.0090  5 O 3.01-3.34
Cs2 0.2500 0.5727 0.9847  10 O 3.05-3.39
Cs3 0.2500 0.9273 0.9847  10 O 3.05-3.39
Cs4 0.4286 0.2500 0.0090  5 O 3.01-3.34
Cs5 0.5714 0.7500 0.9910  5 O 3.01-3.34
Cs6 0.7500 0.0727 0.0153  10 O 3.05-3.39
Cs7 0.7500 0.4273 0.0153  10 O 3.05-3.39
Cs8 0.9286 0.7500 0.9910  5 O 3.01-3.34
U1 0.0000 0.0000 0.5000  2 O 1.81
U2 0.0000 0.5000 0.5000  2 O 1.81
U3 0.5000 0.0000 0.5000  2 O 1.81
U4 0.5000 0.5000 0.5000  2 O 1.81
P1 0.1308 0.7500 0.4854  4 O 1.49-1.63
P2 0.2500 0.1325 0.4914  4 O 1.49-1.63
P3 0.2500 0.3675 0.4914  4 O 1.49-1.63
P4 0.3692 0.7500 0.4854  4 O 1.49-1.63
P5 0.6308 0.2500 0.5146  4 O 1.49-1.63
P6 0.7500 0.6325 0.5086  4 O 1.49-1.63
P7 0.7500 0.8675 0.5086  4 O 1.49-1.63
P8 0.8692 0.2500 0.5146  4 O 1.49-1.63
O1 0.0475 0.5124 0.2233  1 U 1.81
O2 0.0475 0.9876 0.2233  1 U 1.81
O3 0.0796 0.6528 0.5933  1 P 1.55
O4 0.0796 0.8472 0.5933  1 P 1.55
O5 0.1328 0.7500 0.2433  1 P 1.49
O6 0.1507 0.0838 0.5998  1 P 1.55
O7 0.1507 0.4162 0.5998  1 P 1.55
O8 0.2500 0.1338 0.2492  1 P 1.49
O9 0.2500 0.2500 0.5924  2 P 1.63
O10 0.2500 0.3662 0.2492  1 P 1.49
O11 0.2500 0.7500 0.5874  2 P 1.63
O12 0.3493 0.0838 0.5998  1 P 1.55
O13 0.3493 0.4162 0.5998  1 P 1.55
O14 0.3672 0.7500 0.2433  1 P 1.49
O15 0.4204 0.6528 0.5933  1 P 1.55
O16 0.4204 0.8472 0.5933  1 P 1.55
O17 0.4525 0.5124 0.2233  1 U 1.81
O18 0.4525 0.9876 0.2233  1 U 1.81
O19 0.5475 0.0124 0.7767  1 U 1.81
O20 0.5475 0.4876 0.7767  1 U 1.81
O21 0.5796 0.1528 0.4067  1 P 1.55
O22 0.5796 0.3472 0.4067  1 P 1.55
O23 0.6328 0.2500 0.7567  1 P 1.49
O24 0.6507 0.5838 0.4002  1 P 1.55
O25 0.6507 0.9162 0.4002  1 P 1.55
O26 0.7500 0.2500 0.4126  2 P 1.63
O27 0.7500 0.6338 0.7508  1 P 1.49
O28 0.7500 0.7500 0.4076  2 P 1.63
O29 0.7500 0.8662 0.7508  1 P 1.49
O30 0.8493 0.5838 0.4002  1 P 1.55
O31 0.8493 0.9162 0.4002  1 P 1.55
O32 0.8672 0.2500 0.7567  1 P 1.49
O33 0.9204 0.1528 0.4067  1 P 1.55
O34 0.9204 0.3472 0.4067  1 P 1.55
O35 0.9525 0.0124 0.7767  1 U 1.81
O36 0.9525 0.4876 0.7767  1 U 1.81

Values from the calculation:
E_tot ... -21.08 eV per atom
Calculated volume ... 17.76 Å³/atom
Formation energy without anion corrections ... -2.79 eV/atom
N(E_F) ... 0.0000 states/eV per atom

Repeat the third record exactly.
This record from Alexandria via LeMat-Bulk describes a crystal of Cs2UP2O9 relaxed with PBEsol. The functional is SCAN.

Cell lengths 12.6270, 12.7881, 6.1607 Å; angles 90.00, 90.00, 90.00 degrees
Closest atoms and distances in Å follow each position.
Positions (direct):
Cs1 0.0714 0.2500 0.0090  5 O 3.01-3.34
Cs2 0.2500 0.5727 0.9847  10 O 3.05-3.39
Cs3 0.2500 0.9273 0.9847  10 O 3.05-3.39
Cs4 0.4286 0.2500 0.0090  5 O 3.01-3.34
Cs5 0.5714 0.7500 0.9910  5 O 3.01-3.34
Cs6 0.7500 0.0727 0.0153  10 O 3.05-3.39
Cs7 0.7500 0.4273 0.0153  10 O 3.05-3.39
Cs8 0.9286 0.7500 0.9910  5 O 3.01-3.34
U1 0.0000 0.0000 0.5000  2 O 1.81
U2 0.0000 0.5000 0.5000  2 O 1.81
U3 0.5000 0.0000 0.5000  2 O 1.81
U4 0.5000 0.5000 0.5000  2 O 1.81
P1 0.1308 0.7500 0.4854  4 O 1.49-1.63
P2 0.2500 0.1325 0.4914  4 O 1.49-1.63
P3 0.2500 0.3675 0.4914  4 O 1.49-1.63
P4 0.3692 0.7500 0.4854  4 O 1.49-1.63
P5 0.6308 0.2500 0.5146  4 O 1.49-1.63
P6 0.7500 0.6325 0.5086  4 O 1.49-1.63
P7 0.7500 0.8675 0.5086  4 O 1.49-1.63
P8 0.8692 0.2500 0.5146  4 O 1.49-1.63
O1 0.0475 0.5124 0.2233  1 U 1.81
O2 0.0475 0.9876 0.2233  1 U 1.81
O3 0.0796 0.6528 0.5933  1 P 1.55
O4 0.0796 0.8472 0.5933  1 P 1.55
O5 0.1328 0.7500 0.2433  1 P 1.49
O6 0.1507 0.0838 0.5998  1 P 1.55
O7 0.1507 0.4162 0.5998  1 P 1.55
O8 0.2500 0.1338 0.2492  1 P 1.49
O9 0.2500 0.2500 0.5924  2 P 1.63
O10 0.2500 0.3662 0.2492  1 P 1.49
O11 0.2500 0.7500 0.5874  2 P 1.63
O12 0.3493 0.0838 0.5998  1 P 1.55
O13 0.3493 0.4162 0.5998  1 P 1.55
O14 0.3672 0.7500 0.2433  1 P 1.49
O15 0.4204 0.6528 0.5933  1 P 1.55
O16 0.4204 0.8472 0.5933  1 P 1.55
O17 0.4525 0.5124 0.2233  1 U 1.81
O18 0.4525 0.9876 0.2233  1 U 1.81
O19 0.5475 0.0124 0.7767  1 U 1.81
O20 0.5475 0.4876 0.7767  1 U 1.81
O21 0.5796 0.1528 0.4067  1 P 1.55
O22 0.5796 0.3472 0.4067  1 P 1.55
O23 0.6328 0.2500 0.7567  1 P 1.49
O24 0.6507 0.5838 0.4002  1 P 1.55
O25 0.6507 0.9162 0.4002  1 P 1.55
O26 0.7500 0.2500 0.4126  2 P 1.63
O27 0.7500 0.6338 0.7508  1 P 1.49
O28 0.7500 0.7500 0.4076  2 P 1.63
O29 0.7500 0.8662 0.7508  1 P 1.49
O30 0.8493 0.5838 0.4002  1 P 1.55
O31 0.8493 0.9162 0.4002  1 P 1.55
O32 0.8672 0.2500 0.7567  1 P 1.49
O33 0.9204 0.1528 0.4067  1 P 1.55
O34 0.9204 0.3472 0.4067  1 P 1.55
O35 0.9525 0.0124 0.7767  1 U 1.81
O36 0.9525 0.4876 0.7767  1 U 1.81

Values from the calculation:
E_tot ... -21.08 eV per atom
Calculated volume ... 17.76 Å³/atom
Formation energy without anion corrections ... -2.79 eV/atom
N(E_F) ... 0.0000 states/eV per atom